Computed, not measured: a geometry-optimized TcPt3S structure at the GGA-PBE level of DFT.

Output
- formation energy without anion corrections (eV per atom) = 0.689
- uncorrected energy (eV/atom) = -5.83
- crystal system = cubic

abc: 4.5062 4.5062 4.5062
angles: 90.00 90.00 90.00
Fractional positions:
Tc (0.5000, 0.5000, 0.5000)
Pt (0.0000, 0.0000, 0.5000)
Pt (0.5000, 0.0000, 0.0000)
S (0.0000, 0.0000, 0.0000)
Pt (0.0000, 0.5000, 0.0000)